w) First-principles (GGA-PBE) data for an optimized crystal structure of Sm12Er6Mg, as listed in Alexandria via LeMat-Bulk.

Properties
As for the space-group type: R-3m (166).

abc: 8.6628 8.6628 8.6628
angles: 97.35 97.35 97.35
Element x y z (fractional)
Sm 0.0000 0.2612 0.7388
Sm 0.0000 0.7388 0.2612
Sm 0.1690 0.5819 0.5819
Sm 0.2612 0.0000 0.7388
Sm 0.2612 0.7388 0.0000
Sm 0.4181 0.4181 0.8310
Sm 0.4181 0.8310 0.4181
Sm 0.5819 0.1690 0.5819
Sm 0.5819 0.5819 0.1690
Sm 0.7388 0.0000 0.2612
Sm 0.7388 0.2612 0.0000
Sm 0.8310 0.4181 0.4181
Er 0.1367 0.1367 0.4066
Er 0.1367 0.4066 0.1367
Er 0.4066 0.1367 0.1367
Er 0.5934 0.8633 0.8633
Er 0.8633 0.5934 0.8633
Er 0.8633 0.8633 0.5934
Mg 0.0000 0.0000 0.0000



x) First-principles (GGA-PBE) data for an optimized crystal structure of Sm12Er6Mg, as listed in Alexandria via LeMat-Bulk.

Properties
As for the space-group type: R-3 (148).

abc: 8.5597 8.5597 8.5597
angles: 88.85 88.85 88.85
Element x y z (fractional)
Sm 0.0383 0.2830 0.9322
Sm 0.0678 0.9617 0.7170
Sm 0.1353 0.3176 0.4843
Sm 0.2830 0.9322 0.0383
Sm 0.3176 0.4843 0.1353
Sm 0.4843 0.1353 0.3176
Sm 0.5157 0.8647 0.6824
Sm 0.6824 0.5157 0.8647
Sm 0.7170 0.0678 0.9617
Sm 0.8647 0.6824 0.5157
Sm 0.9322 0.0383 0.2830
Sm 0.9617 0.7170 0.0678
Er 0.2112 0.5995 0.7602
Er 0.2398 0.7888 0.4005
Er 0.4005 0.2398 0.7888
Er 0.5995 0.7602 0.2112
Er 0.7602 0.2112 0.5995
Er 0.7888 0.4005 0.2398
Mg 0.5000 0.5000 0.5000



Stability summary - winner: x); margin: 8 meV/atom.